Entry 1:
Entry from Alexandria: a relaxed structure of MnCu6Pd12 (PBE-GGA).

E_form = -107 meV/atom
ρ = 10393 kg/m³
E above lowest polymorph = 0.000 eV per atom

abc: 7.225 7.225 7.225
angles: 110.92 110.92 110.92
Atoms (fractional coordinates):
Mn 0.000 0.000 0.000
Cu 0.050 0.577 0.365
Cu 0.365 0.050 0.577
Cu 0.423 0.635 0.950
Cu 0.577 0.365 0.050
Cu 0.635 0.950 0.423
Cu 0.950 0.423 0.635
Pd 0.109 0.163 0.738
Pd 0.163 0.738 0.109
Pd 0.207 0.320 0.476
Pd 0.262 0.891 0.837
Pd 0.320 0.476 0.207
Pd 0.476 0.207 0.320
Pd 0.524 0.793 0.680
Pd 0.680 0.524 0.793
Pd 0.738 0.109 0.163
Pd 0.793 0.680 0.524
Pd 0.837 0.262 0.891
Pd 0.891 0.837 0.262


Entry 2:
Entry from Alexandria: a relaxed structure of Nd3Ga5Pd6 (PBE-GGA).

E_form = -790 meV/atom
ρ = 8709 kg/m³

abc: 4.317 13.136 9.549
angles: 90.00 90.00 90.00
Atoms (fractional coordinates):
Nd 0.250 0.069 0.247
Nd 0.250 0.431 0.247
Nd 0.250 0.750 0.249
Nd 0.750 0.250 0.751
Nd 0.750 0.569 0.753
Nd 0.750 0.931 0.753
Ga 0.250 0.087 0.863
Ga 0.250 0.413 0.863
Ga 0.250 0.636 0.533
Ga 0.250 0.750 0.829
Ga 0.250 0.864 0.533
Ga 0.750 0.136 0.467
Ga 0.750 0.250 0.171
Ga 0.750 0.364 0.467
Ga 0.750 0.587 0.137
Ga 0.750 0.913 0.137
Pd 0.250 0.055 0.595
Pd 0.250 0.250 0.012
Pd 0.250 0.250 0.479
Pd 0.250 0.445 0.595
Pd 0.250 0.589 0.994
Pd 0.250 0.911 0.994
Pd 0.750 0.089 0.006
Pd 0.750 0.411 0.006
Pd 0.750 0.555 0.405
Pd 0.750 0.750 0.521
Pd 0.750 0.750 0.988
Pd 0.750 0.945 0.405


Entry 3:
Entry from Alexandria: a relaxed structure of RbGaAg (PBE-GGA).

E_form = 69 meV/atom
ρ = 4901 kg/m³
E above lowest polymorph = 0.073 eV per atom

abc: 3.750 3.750 12.679
angles: 90.00 90.00 90.00
Atoms (fractional coordinates):
Rb 0.000 0.000 0.000
Rb 0.500 0.500 0.500
Ga 0.000 0.000 0.718
Ga 0.500 0.500 0.218
Ag 0.000 0.000 0.276
Ag 0.500 0.500 0.776


Entry 4:
Entry from Alexandria: a relaxed structure of Dy2ZnSi4Rh3 (PBE-GGA).

ρ = 7997 kg/m³
VASP energy = -63.088 eV/cell

abc: 4.096 4.096 10.045
angles: 90.00 90.00 90.00
Atoms (fractional coordinates):
Dy 0.000 0.500 0.244
Dy 0.500 0.000 0.756
Zn 0.000 0.000 0.500
Si 0.000 0.000 0.000
Si 0.000 0.500 0.640
Si 0.500 0.000 0.360
Si 0.500 0.500 0.000
Rh 0.000 0.500 0.876
Rh 0.500 0.000 0.124
Rh 0.500 0.500 0.500